An optimized crystal structure of InIr4Cl. Source: Alexandria via LeMat-Bulk, functional GGA-PBE.

Cell: 5.3167 5.3167 5.3167 Å, 60.00 60.00 60.00°
Last column: nearest neighbours and their distance in Å.
Positions (direct):
In 0.0000 0.0000 0.0000  12 Ir 3.12, 4 Cl 3.26
Ir 0.1249 0.6250 0.6250  6 Ir 2.66
Ir 0.6250 0.1249 0.6250  6 Ir 2.66
Ir 0.6250 0.6250 0.1249  6 Ir 2.66
Ir 0.6250 0.6250 0.6250  6 Ir 2.66
Cl 0.2500 0.2500 0.2500  12 Ir 3.12, 4 In 3.26

Summary:
Electronic total energy (eV per atom): -5.89
Formation energy without anion corrections (eV per atom): 0.78